Entry 1:
## TbDy4Y2Sc (PBE)

Data for a relaxed TbDy4Y2Sc crystal.

Values from the calculation:
ΔH_f (0 K)	0.03	eV/atom
E	-5.25	eV/atom

Unit cell a=4.9733 b=4.9733 c=9.9439 alpha=90.00 beta=90.00 gamma=90.00
Last column: nearest neighbours and their distance in Å.
Space group P4/mmm (No. 123)
Inequivalent atoms, fractional coordinates:
Tb1 0.0000 0.0000 0.0000 x1  4 Y 3.52, 8 Dy 3.55
Dy1 0.0000 0.5000 0.2550 x4  2 Sc 3.48, 4 Y 3.48-3.55, 4 Dy 3.52, 2 Tb 3.55
Y1 0.0000 0.0000 0.5000 x1  8 Dy 3.48, 4 Sc 3.52
Y2 0.5000 0.5000 0.0000 x1  4 Tb 3.52, 8 Dy 3.55
Sc1 0.5000 0.5000 0.5000 x1  8 Dy 3.48, 4 Y 3.52

=====

Entry 2:
## LaSiAs2Br (PBE)

Data for a relaxed LaSiAs2Br crystal.

Values from the calculation:
energy relative to the elements, uncorrected	0.49	eV/atom
E	-3.77	eV/atom

Unit cell a=5.7531 b=5.7531 c=5.6052 alpha=90.00 beta=90.00 gamma=90.00
Last column: nearest neighbours and their distance in Å.
Space group P4/mmm (No. 123)
Inequivalent atoms, fractional coordinates:
La1 0.0000 0.0000 0.0000 x1  2 Br 2.80, 4 As 2.88
Si1 0.5000 0.5000 0.5000 x1  8 As 4.02, 4 Br 4.07
As1 0.0000 0.5000 0.0000 x2  2 La 2.88
Br1 0.0000 0.0000 0.5000 x1  2 La 2.80

=====

Entry 3:
## Tm8C3Se3N (PBE)

Data for a relaxed Tm8C3Se3N crystal.

Values from the calculation:
energy relative to the elements, uncorrected	-1.17	eV/atom
E	-6.65	eV/atom

Unit cell a=7.2942 b=7.2942 c=19.2606 alpha=90.00 beta=90.00 gamma=120.00
Last column: nearest neighbours and their distance in Å.
Space group R-3m (No. 166, hexagonal axes)
Inequivalent atoms, fractional coordinates:
Tm1 0.0000 0.0000 0.2340 x6  3 C 2.47
Tm2 0.0037 0.5018 0.7660 x18  2 C 2.46, 1 N 2.49
C1 0.0000 0.5000 0.5000 x9  6 Tm 2.46-2.47
Se1 0.0000 0.5000 0.0000 x9  6 Tm 2.85
N1 0.0000 0.0000 0.5000 x3  6 Tm 2.49